[1]
{
  "formula": "CsPmCdBr6",
  "functional": "PBE",
  "state": "relaxed",
  "lattice": [[10.637, 0.000, 0.000], [0.000, 10.060, 0.000], [-5.318, -5.030, 7.522]],
  "species": ["Cs", "Cs", "Pm", "Pm", "Cd", "Cd", "Br", "Br", "Br", "Br", "Br", "Br", "Br", "Br", "Br", "Br", "Br", "Br"],
  "fractional_positions": [[0.806, 0.556, 0.611], [0.194, 0.444, 0.389], [0.500, 0.000, 0.500], [0.000, 0.000, 0.500], [0.500, 0.500, 0.000], [0.500, 0.000, 0.000], [0.435, 0.685, 0.869], [0.828, 0.078, 0.656], [0.824, 0.093, 0.258], [0.434, 0.666, 0.258], [0.434, 0.093, 0.258], [0.824, 0.666, 0.258], [0.565, 0.315, 0.131], [0.172, 0.922, 0.344], [0.176, 0.907, 0.742], [0.566, 0.334, 0.742], [0.566, 0.907, 0.742], [0.176, 0.334, 0.742]],
  "formation_energy_uncorrected_ev_per_atom": -1.478
}

***

[2]
{
  "formula": "Ga2MoRu",
  "functional": "PBE",
  "state": "relaxed",
  "lattice": [[2.889, 0.000, 0.000], [1.445, 2.502, 0.000], [1.445, 0.834, 8.349]],
  "species": ["Ga", "Ga", "Mo", "Ru"],
  "fractional_positions": [[0.080, 0.080, 0.761], [0.254, 0.254, 0.239], [0.500, 0.500, 0.499], [0.666, 0.666, 0.001]],
  "relative_energy_ev_per_fu": 0.00,
  "formation_energy_ev_per_atom": -0.07
}

***

[3]
{
  "formula": "Ni8MoRh2",
  "functional": "PBE",
  "state": "relaxed",
  "lattice": [[3.934, -0.744, -1.517], [-0.126, 4.055, -2.317], [-1.877, 1.996, 8.306]],
  "species": ["Ni", "Ni", "Ni", "Ni", "Ni", "Ni", "Ni", "Ni", "Mo", "Rh", "Rh"],
  "fractional_positions": [[0.286, 0.663, 0.819], [0.714, 0.844, 0.181], [0.136, 0.266, 0.532], [0.864, 0.734, 0.468], [0.286, 0.156, 0.819], [0.714, 0.337, 0.181], [0.799, 0.412, 0.824], [0.201, 0.588, 0.176], [0.000, 0.000, 0.000], [0.450, 0.186, 0.372], [0.550, 0.814, 0.628]],
  "formation_energy_ev_per_atom": 0.11
}

***

[4]
{
  "formula": "Pm2Nd8Ga",
  "functional": "PBE",
  "state": "relaxed",
  "lattice": [[-5.091, 2.161, 0.819], [-1.353, -5.320, 5.624], [6.269, 6.397, 3.008]],
  "species": ["Pm", "Pm", "Nd", "Nd", "Nd", "Nd", "Nd", "Nd", "Nd", "Nd", "Ga"],
  "fractional_positions": [[0.812, 0.340, 0.625], [0.188, 0.660, 0.375], [0.398, 0.583, 0.796], [0.656, 0.920, 0.312], [0.818, 0.777, 0.636], [0.987, 0.226, 0.973], [0.182, 0.223, 0.364], [0.344, 0.080, 0.688], [0.602, 0.417, 0.204], [0.013, 0.774, 0.027], [0.500, 0.000, 0.000]],
  "formation_energy_ev_per_atom": 0.00
}

***

| no. | total moment (μB per formula unit) |
| --- | --- |
| 1 | 0.00 |
| 2 | 0.00 |
| 3 | 4.24 |
| 4 | 0.00 |